Computed, not measured: an optimized crystal structure of CeNb2Ge2 at the GGA-PBE level of DFT.

## Properties
Energy of formation   -0.566 eV/atom
Mass density   7.71 g cm⁻³
M_tot   0.147 μB per atom
Space group   No. 139
Calculated volume   20.30 Å³ per atom

Cell: 6.7220 6.7220 6.7220 Å, 144.58 144.58 50.96°
With the nearest neighbours (Å) after each atom.
Atoms (fractional coordinates):
Ce 0.0000 0.0000 0.0000  8 Ge 3.16
Nb 0.2500 0.7500 0.5000  4 Ge 2.70, 4 Nb 2.89
Nb 0.7500 0.2500 0.5000  4 Ge 2.70, 4 Nb 2.89
Ge 0.3957 0.3957 0.0000  1 Ge 2.53, 4 Nb 2.70
Ge 0.6043 0.6043 0.0000  1 Ge 2.53, 4 Nb 2.70